Below is a geometry-optimized Zr2GaHgOs structure, with properties calculated at the GGA-PBE level.

The mass density comes out at 9.285 g/cm³. Its formation energy from the elements is 1.0679 eV per atom. The total moment is 1.03 μB/f.u. As for the total energy: -5.263 eV per atom.

The structure belongs to space group P4/mmm (No. 123); the cell edges are 4.984, 4.984 and 4.630 Å and the angles 90.00°, 90.00° and 90.00°. The asymmetric unit holds Zr at (0.000, 0.500, 0.000), Ga at (0.000, 0.000, 0.000), Hg at (0.000, 0.000, 0.500) and Os at (0.500, 0.500, 0.500).